No. 1
Below is a geometry-optimized MgBiSbW structure, with properties calculated at the GGA-PBE level.

Properties
As for the space group: F-43m. The magnetic moment comes out at 0.231 μB per formula unit. Its energy relative to the lowest polymorph listed for this composition is 0.0 meV per atom. Its mass density is 10.5 g/cm³.

Cell: 4.933 4.933 4.933 Å, 60.00 60.00 60.00°
Fractional positions:
Sb (0.000, 0.000, 0.000)
W (0.250, 0.250, 0.250)
Bi (0.500, 0.500, 0.500)
Mg (0.750, 0.750, 0.750)



No. 2
Below is a geometry-optimized MgScZnBi structure, with properties calculated at the GGA-PBE level.

Properties
As for the space group: F-43m. The magnetic moment comes out at 0.077 μB per formula unit. Its energy relative to the lowest polymorph listed for this composition is 0.0 meV per atom. Its mass density is 6.3 g/cm³.

Cell: 5.037 5.037 5.037 Å, 60.00 60.00 60.00°
Fractional positions:
Zn (0.750, 0.750, 0.750)
Mg (0.500, 0.500, 0.500)
Sc (0.000, 0.000, 0.000)
Bi (0.250, 0.250, 0.250)



No. 3
Below is a geometry-optimized MgScZnBi structure, with properties calculated at the GGA-PBE level.

Properties
As for the space group: F-43m. The magnetic moment comes out at 0.002 μB per formula unit. Its energy relative to the lowest polymorph listed for this composition is 155.0 meV per atom. Its mass density is 6.2 g/cm³.

Cell: 5.080 5.080 5.080 Å, 60.00 60.00 60.00°
Fractional positions:
Mg (0.250, 0.250, 0.250)
Bi (0.000, 0.000, 0.000)
Sc (0.500, 0.500, 0.500)
Zn (0.750, 0.750, 0.750)



No. 4
Below is a geometry-optimized MgTcSnBi structure, with properties calculated at the GGA-PBE level.

Properties
As for the space group: F-43m. The magnetic moment comes out at 0.004 μB per formula unit. Its energy relative to the lowest polymorph listed for this composition is 0.0 meV per atom. Its mass density is 9.1 g/cm³.

Cell: 4.881 4.881 4.881 Å, 60.00 60.00 60.00°
Fractional positions:
Tc (0.250, 0.250, 0.250)
Mg (0.750, 0.750, 0.750)
Sn (0.000, 0.000, 0.000)
Bi (0.500, 0.500, 0.500)



No. 5
Below is a geometry-optimized Sr2MgZnBi4 structure, with properties calculated at the GGA-PBE level.

Properties
As for the space group: I-4m2. The raw total energy comes out at -3.315 eV per atom. Its mass density is 7.3 g/cm³.

Cell: 12.233 12.233 12.233 Å, 158.32 158.32 30.85°
Fractional positions:
Sr (0.136, 0.636, 0.500)
Sr (0.364, 0.864, 0.500)
Bi (0.578, 0.078, 0.500)
Bi (0.922, 0.422, 0.500)
Bi (0.251, 0.251, 0.000)
Bi (0.749, 0.749, 0.000)
Mg (0.000, 0.000, 0.000)
Zn (0.500, 0.500, 0.000)



No. 6
Below is a geometry-optimized MgTaBi structure, with properties calculated at the GGA-PBE level.

Properties
As for the space group: F-43m. The raw total energy comes out at -4.996 eV per atom. The magnetic moment comes out at 2.185 μB per formula unit. Its mass density is 8.6 g/cm³.

Cell: 4.830 4.830 4.830 Å, 60.00 60.00 60.00°
Fractional positions:
Mg (0.750, 0.750, 0.750)
Bi (0.250, 0.250, 0.250)
Ta (0.000, 0.000, 0.000)



No. 7
Below is a geometry-optimized MgTa2Bi structure, with properties calculated at the GGA-PBE level.

Properties
As for the space group: F-43m. The raw total energy comes out at -6.761 eV per atom. The magnetic moment comes out at 0.002 μB per formula unit. Its mass density is 12.2 g/cm³.

Cell: 4.853 4.853 4.853 Å, 60.00 60.00 60.00°
Fractional positions:
Ta (0.750, 0.750, 0.750)
Ta (0.000, 0.000, 0.000)
Mg (0.250, 0.250, 0.250)
Bi (0.500, 0.500, 0.500)



No. 8
Below is a geometry-optimized MgTaBiTe structure, with properties calculated at the GGA-PBE level.

Properties
As for the space group: F-43m. The magnetic moment comes out at 1.615 μB per formula unit. Its energy relative to the lowest polymorph listed for this composition is 0.0 meV per atom. Its mass density is 9.8 g/cm³.

Cell: 5.069 5.069 5.069 Å, 60.00 60.00 60.00°
Fractional positions:
Te (0.500, 0.500, 0.500)
Mg (0.750, 0.750, 0.750)
Ta (0.250, 0.250, 0.250)
Bi (0.000, 0.000, 0.000)



No. 9
Below is a geometry-optimized MgTaBiTe structure, with properties calculated at the GGA-PBE level.

Properties
As for the space group: F-43m. The magnetic moment comes out at 1.875 μB per formula unit. Its energy relative to the lowest polymorph listed for this composition is 378.8 meV per atom. Its mass density is 9.4 g/cm³.

Cell: 5.138 5.138 5.138 Å, 60.00 60.00 60.00°
Fractional positions:
Ta (0.000, 0.000, 0.000)
Mg (0.750, 0.750, 0.750)
Te (0.250, 0.250, 0.250)
Bi (0.500, 0.500, 0.500)



No. 10
Below is a geometry-optimized MgTc2Bi structure, with properties calculated at the GGA-PBE level.

Properties
As for the space group: F-43m. The raw total energy comes out at -6.066 eV per atom. The magnetic moment comes out at 1.236 μB per formula unit. Its mass density is 10.0 g/cm³.

Cell: 4.654 4.654 4.654 Å, 60.00 60.00 60.00°
Fractional positions:
Bi (0.500, 0.500, 0.500)
Mg (0.250, 0.250, 0.250)
Tc (0.750, 0.750, 0.750)
Tc (0.000, 0.000, 0.000)



No. 11
Below is a geometry-optimized TmMgBi structure, with properties calculated at the GGA-PBE level.

Properties
As for the space group: F-43m. The magnetic moment comes out at 0.003 μB per formula unit. Its energy relative to the lowest polymorph listed for this composition is 45.9 meV per atom. Its mass density is 7.2 g/cm³.

Cell: 5.070 5.070 5.070 Å, 60.00 60.00 60.00°
Fractional positions:
Tm (0.750, 0.750, 0.750)
Mg (0.250, 0.250, 0.250)
Bi (0.000, 0.000, 0.000)



No. 12
Below is a geometry-optimized TmMgBi structure, with properties calculated at the GGA-PBE level.

Properties
As for the space group: F-43m. The magnetic moment comes out at 0.002 μB per formula unit. Its energy relative to the lowest polymorph listed for this composition is 0.0 meV per atom. Its mass density is 6.9 g/cm³.

Cell: 5.151 5.151 5.151 Å, 60.00 60.00 60.00°
Fractional positions:
Mg (0.750, 0.750, 0.750)
Tm (0.000, 0.000, 0.000)
Bi (0.250, 0.250, 0.250)